1.
The following is a PBE calculation of Ca2FeP after structural relaxation, from the Alexandria database.

The structure belongs to space group Amm2 (No. 38); the cell edges are 3.9659, 4.3061 and 10.5231 Å and the angles 90.00°, 90.00° and 90.00°. The inequivalent atoms are Ca at (0.0000, 0.0000, 0.0000), Ca at (0.5000, 0.0000, 0.2872), Fe at (0.0000, 0.0000, 0.6905) and P at (0.5000, 0.0000, 0.5921).

The magnetic moment comes out at 2.74 μB/cell. The calculation puts the energy relative to the elements at -1.64 eV per formula unit.



2.
The following is a PBE calculation of CaFe4P12 after structural relaxation, from the Alexandria database.

The structure belongs to space group Im-3 (No. 204); the cell edges are 7.7946, 7.7946 and 7.7946 Å and the angles 90.00°, 90.00° and 90.00°. The inequivalent atoms are Ca at (0.0000, 0.0000, 0.0000), Fe at (0.2500, 0.2500, 0.2500) and P at (0.0000, 0.1505, 0.3537).

The magnetic moment comes out at 0.04 μB/cell. The calculation puts the energy relative to the elements at -8.92 eV per formula unit.



3.
The following is a PBE calculation of Ca2FeP after structural relaxation, from the Alexandria database.

The structure belongs to space group Cmmm (No. 65); the cell edges are 6.6341, 6.6488 and 3.9103 Å and the angles 90.00°, 90.00° and 90.00°. The inequivalent atoms are Ca at (0.2500, 0.2500, 0.0000), Fe at (0.0000, 0.0000, 0.5000) and P at (0.0000, 0.5000, 0.5000).

The magnetic moment comes out at 5.79 μB/cell. The calculation puts the energy relative to the elements at -0.41 eV per formula unit.